Entry 1:
The following is a DFT calculation (PBE) of Rb2TaWN4 after structural relaxation.

- Mass density: 6.3 g cm⁻³
- Space group: I-4 (82)
- Total moment: 0.073 μB per formula unit
- Raw total energy: -8.142 eV per atom

```
data_Rb2TaWN4
_chemical_formula_sum 'Rb2 Ta1 W1 N4'
_space_group_name_H-M_alt 'P 1'
_space_group_IT_number 1
_space_group_name_Hall 'P 1'
_cell_length_a 6.084
_cell_length_b 6.084
_cell_length_c 6.084
_cell_angle_alpha 120.83
_cell_angle_beta 120.83
_cell_angle_gamma 88.58
loop_
_atom_site_label
_atom_site_type_symbol
_atom_site_fract_x
_atom_site_fract_y
_atom_site_fract_z
Rb1 Rb 0.250 0.750 0.500
Rb2 Rb 0.500 0.500 0.000
N1 N 0.381 0.209 0.339
N2 N 0.791 0.130 0.172
N3 N 0.870 0.042 0.661
N4 N 0.958 0.619 0.828
Ta1 Ta 0.000 0.000 0.000
W1 W 0.750 0.250 0.500
```

Entry 2:
The following is a DFT calculation (PBE) of CdAg2SnSe2S2 after structural relaxation.

- Mass density: 5.2 g cm⁻³
- E above lowest polymorph: 0.002 eV/atom
- Space group: Fmm2 (42)

```
data_CdAg2SnSe2S2
_chemical_formula_sum 'Cd1 Ag2 Sn1 Se2 S2'
_space_group_name_H-M_alt 'P 1'
_space_group_IT_number 1
_space_group_name_Hall 'P 1'
_cell_length_a 7.423
_cell_length_b 7.372
_cell_length_c 5.954
_cell_angle_alpha 66.72
_cell_angle_beta 65.82
_cell_angle_gamma 47.46
loop_
_atom_site_label
_atom_site_type_symbol
_atom_site_fract_x
_atom_site_fract_y
_atom_site_fract_z
Se1 Se 0.135 0.621 0.379
Se2 Se 0.621 0.135 0.865
Ag1 Ag 0.241 0.241 0.259
Ag2 Ag 0.741 0.741 0.759
Sn1 Sn 0.505 0.505 0.495
S1 S 0.864 0.387 0.136
S2 S 0.387 0.864 0.613
Cd1 Cd 0.007 0.007 0.993
```

> What is the mass density in the first record?

6.3 g cm⁻³